## LaSc3In (PBE)

Data for a relaxed LaSc3In crystal.

Properties
The formation enthalpy at 0 K comes out at 0.809 eV per atom. The total energy comes out at -22.618 eV per cell. The volume comes out at 141.15 Å³/cell. The energy above the most stable polymorph in this dataset is 0.4685 eV/atom. The space-group type is Pm-3m (221).

Cell: 5.2067 5.2067 5.2067 Å, 90.00 90.00 90.00°
With the nearest neighbours (Å) after each atom.
Fractional coordinates of all 5 atoms:
Sc  0.0000  0.0000  0.5000  2 La 2.60
Sc  0.0000  0.5000  0.0000  2 La 2.60
Sc  0.5000  0.0000  0.0000  2 La 2.60
La  0.0000  0.0000  0.0000  6 Sc 2.60
In  0.5000  0.5000  0.5000  12 Sc 3.68

## LaSc2In (PBE)

Data for a relaxed LaSc2In crystal.

Properties
The formation enthalpy at 0 K comes out at -0.117 eV per atom. The total energy comes out at -20.798 eV per cell. The volume comes out at 102.31 Å³/cell. The space-group type is P4/mmm (123).

Cell: 5.2448 5.2448 3.7194 Å, 90.00 90.00 89.97°
With the nearest neighbours (Å) after each atom.
Fractional coordinates of all 4 atoms:
La  0.0000  0.5000  0.5000  8 Sc 3.21
Sc  0.0000  0.0000  0.0000  4 La 3.21, 4 In 3.21
Sc  0.5000  0.5000  0.0000  4 In 3.21, 4 La 3.21
In  0.5000  0.0000  0.5000  8 Sc 3.21

## LaSc2In (PBE)

Data for a relaxed LaSc2In crystal.

Properties
The formation enthalpy at 0 K comes out at -0.199 eV per atom. The total energy comes out at -21.123 eV per cell. The volume comes out at 104.97 Å³/cell. The space-group type is I-4m2 (119).

Cell: 5.8291 5.8291 5.8291 Å, 132.71 132.71 69.12°
With the nearest neighbours (Å) after each atom.
Fractional coordinates of all 4 atoms:
In  0.5000  0.5000  0.0000  8 Sc 3.31-3.35, 4 La 3.35
Sc  0.2500  0.7500  0.5000  4 La 3.31, 4 In 3.35, 4 Sc 3.35
Sc  0.0000  0.0000  0.0000  4 In 3.31, 4 Sc 3.35, 4 La 3.35
La  0.7500  0.2500  0.5000  8 Sc 3.31-3.35, 4 In 3.35

## La3ScIn (PBE)

Data for a relaxed La3ScIn crystal.

Properties
The formation enthalpy at 0 K comes out at 0.397 eV per atom. The total energy comes out at -21.866 eV per cell. The volume comes out at 181.04 Å³/cell. The space-group type is Pm-3m (221).

Cell: 5.6571 5.6571 5.6571 Å, 90.00 90.00 90.00°
With the nearest neighbours (Å) after each atom.
Fractional coordinates of all 5 atoms:
La  0.5000  0.0000  0.0000  2 Sc 2.83
La  0.0000  0.0000  0.5000  2 Sc 2.83
La  0.0000  0.5000  0.0000  2 Sc 2.83
Sc  0.0000  0.0000  0.0000  6 La 2.83
In  0.5000  0.5000  0.5000  12 La 4.00

## LaSmScIn (PBE)

Data for a relaxed LaSmScIn crystal.

Properties
The formation enthalpy at 0 K comes out at -0.173 eV per atom. The total energy comes out at -19.411 eV per cell. The volume comes out at 117.49 Å³/cell. The energy above the most stable polymorph in this dataset is 0.0000 eV/atom. The space-group type is F-43m (216).

Cell: 5.4976 5.4976 5.4976 Å, 60.00 60.00 60.00°
With the nearest neighbours (Å) after each atom.
Fractional coordinates of all 4 atoms:
In  0.5000  0.5000  0.5000  4 La 3.37, 4 Sm 3.37
Sm  0.2500  0.2500  0.2500  4 In 3.37, 4 Sc 3.37
Sc  0.0000  0.0000  0.0000  4 La 3.37, 4 Sm 3.37
La  0.7500  0.7500  0.7500  4 Sc 3.37, 4 In 3.37

## LaSmScIn (PBE)

Data for a relaxed LaSmScIn crystal.

Properties
The formation enthalpy at 0 K comes out at -0.095 eV per atom. The total energy comes out at -19.097 eV per cell. The volume comes out at 111.61 Å³/cell. The energy above the most stable polymorph in this dataset is 0.0784 eV/atom. The space-group type is F-43m (216).

Cell: 5.4027 5.4027 5.4052 Å, 119.99 119.99 90.00°
With the nearest neighbours (Å) after each atom.
Fractional coordinates of all 4 atoms:
In  0.5000  0.5000  0.0000  4 Sc 3.31, 4 Sm 3.31
Sm  0.7500  0.2500  0.5000  4 In 3.31, 4 La 3.31
La  0.0000  0.0000  0.0000  4 Sc 3.31, 4 Sm 3.31
Sc  0.2500  0.7500  0.5000  4 In 3.31, 4 La 3.31

## LaSmSc2In4 (PBE)

Data for a relaxed LaSmSc2In4 crystal.

Properties
The formation enthalpy at 0 K comes out at -0.435 eV per atom. The total energy comes out at -36.742 eV per cell. The volume comes out at 209.20 Å³/cell. The space-group type is R-3m (166).

Cell: 5.2837 5.2837 9.1748 Å, 73.26 73.26 60.00°
With the nearest neighbours (Å) after each atom.
Fractional coordinates of all 8 atoms:
In  0.1265  0.1265  0.6205  4 Sc 3.20-3.25, 3 Sm 3.22, 1 La 3.28
In  0.8735  0.8735  0.3795  4 Sc 3.20-3.25, 3 Sm 3.22, 1 La 3.28
In  0.3766  0.3766  0.8702  1 Sm 3.20, 4 Sc 3.22-3.29, 3 La 3.25
In  0.6234  0.6234  0.1298  1 Sm 3.20, 4 Sc 3.22-3.29, 3 La 3.25
Sm  0.5000  0.5000  0.5000  8 In 3.20-3.22
Sc  0.7501  0.7501  0.7496  8 In 3.20-3.29
Sc  0.2499  0.2499  0.2504  8 In 3.20-3.29
La  0.0000  0.0000  0.0000  8 In 3.25-3.28

## La2SmSc2In5 (PBE)

Data for a relaxed La2SmSc2In5 crystal.

Properties
The formation enthalpy at 0 K comes out at -0.411 eV per atom. The total energy comes out at -90.078 eV per cell. The volume comes out at 545.08 Å³/cell. The space-group type is P4/mbm (127).

Cell: 4.6792 10.7930 10.7930 Å, 90.00 90.00 90.00°
With the nearest neighbours (Å) after each atom.
Fractional coordinates of all 20 atoms:
In  0.5000  0.5000  0.0000  4 Sc 2.96, 4 In 3.26
In  0.5000  0.2952  0.5629  2 Sc 3.08, 3 In 3.26-3.27, 2 Sm 3.29
In  0.5000  0.0629  0.7952  2 Sc 3.08, 3 In 3.26-3.27, 2 Sm 3.29
In  0.5000  0.7952  0.9371  2 Sc 3.08, 3 In 3.26-3.27, 2 Sm 3.29
In  0.5000  0.5629  0.7048  2 Sc 3.08, 3 In 3.26-3.27, 2 Sm 3.29
In  0.5000  0.0000  0.5000  4 Sc 2.96, 4 In 3.26
In  0.5000  0.7048  0.4371  2 Sc 3.08, 3 In 3.26-3.27, 2 Sm 3.29
In  0.5000  0.2048  0.0629  2 Sc 3.08, 3 In 3.26-3.27, 2 Sm 3.29
In  0.5000  0.9371  0.2048  2 Sc 3.08, 3 In 3.26-3.27, 2 Sm 3.29
In  0.5000  0.4371  0.2952  2 Sc 3.08, 3 In 3.26-3.27, 2 Sm 3.29
La  0.0000  0.3212  0.8212  3 Sc 3.09-3.27
La  0.0000  0.6788  0.1788  3 Sc 3.09-3.27
La  0.0000  0.8212  0.6788  3 Sc 3.09-3.27
La  0.0000  0.1788  0.3212  3 Sc 3.09-3.27
Sm  0.0000  0.0000  0.0000  8 In 3.29
Sm  0.0000  0.5000  0.5000  8 In 3.29
Sc  0.0000  0.3816  0.1184  6 In 2.96-3.08, 3 La 3.09-3.27
Sc  0.0000  0.8816  0.3816  6 In 2.96-3.08, 3 La 3.09-3.27
Sc  0.0000  0.6184  0.8816  6 In 2.96-3.08, 3 La 3.09-3.27
Sc  0.0000  0.1184  0.6184  6 In 2.96-3.08, 3 La 3.09-3.27

## LaScInSn (PBE)

Data for a relaxed LaScInSn crystal.

Properties
The formation enthalpy at 0 K comes out at -0.484 eV per atom. The total energy comes out at -19.938 eV per cell. The volume comes out at 107.95 Å³/cell. The space-group type is F-43m (216).

Cell: 5.3446 5.3446 5.3446 Å, 60.00 60.00 60.00°
With the nearest neighbours (Å) after each atom.
Fractional coordinates of all 4 atoms:
La  0.0000  0.0000  0.0000  4 Sn 3.27, 4 In 3.27
Sc  0.5000  0.5000  0.5000  4 In 3.27, 4 Sn 3.27
In  0.7500  0.7500  0.7500  4 La 3.27, 4 Sc 3.27
Sn  0.2500  0.2500  0.2500  4 La 3.27, 4 Sc 3.27

## La2TbSc2In5 (PBE)

Data for a relaxed La2TbSc2In5 crystal.

Properties
The formation enthalpy at 0 K comes out at -0.406 eV per atom. The total energy comes out at -89.795 eV per cell. The volume comes out at 538.96 Å³/cell. The space-group type is P4/mbm (127).

Cell: 4.6576 10.7572 10.7572 Å, 90.00 90.00 90.00°
With the nearest neighbours (Å) after each atom.
Fractional coordinates of all 20 atoms:
In  0.5000  0.2972  0.5620  2 Sc 3.08, 3 In 3.23-3.27, 2 Tb 3.26
In  0.5000  0.9380  0.2028  2 Sc 3.08, 3 In 3.23-3.27, 2 Tb 3.26
In  0.5000  0.5000  0.0000  4 Sc 2.95, 4 In 3.27
In  0.5000  0.5620  0.7028  2 Sc 3.08, 3 In 3.23-3.27, 2 Tb 3.26
In  0.5000  0.4380  0.2972  2 Sc 3.08, 3 In 3.23-3.27, 2 Tb 3.26
In  0.5000  0.7972  0.9380  2 Sc 3.08, 3 In 3.23-3.27, 2 Tb 3.26
In  0.5000  0.0000  0.5000  4 Sc 2.95, 4 In 3.27
In  0.5000  0.2028  0.0620  2 Sc 3.08, 3 In 3.23-3.27, 2 Tb 3.26
In  0.5000  0.0620  0.7972  2 Sc 3.08, 3 In 3.23-3.27, 2 Tb 3.26
In  0.5000  0.7028  0.4380  2 Sc 3.08, 3 In 3.23-3.27, 2 Tb 3.26
Tb  0.0000  0.5000  0.5000  8 In 3.26
Tb  0.0000  0.0000  0.0000  8 In 3.26
La  0.0000  0.6791  0.1791  3 Sc 3.07-3.27
La  0.0000  0.1791  0.3209  3 Sc 3.07-3.27
La  0.0000  0.3209  0.8209  3 Sc 3.07-3.27
La  0.0000  0.8209  0.6791  3 Sc 3.07-3.27
Sc  0.0000  0.6190  0.8810  6 In 2.95-3.08, 3 La 3.07-3.27
Sc  0.0000  0.3810  0.1190  6 In 2.95-3.08, 3 La 3.07-3.27
Sc  0.0000  0.8810  0.3810  6 In 2.95-3.08, 3 La 3.07-3.27
Sc  0.0000  0.1190  0.6190  6 In 2.95-3.08, 3 La 3.07-3.27

## LaScTlIn (PBE)

Data for a relaxed LaScTlIn crystal.

Properties
The formation enthalpy at 0 K comes out at -0.379 eV per atom. The total energy comes out at -17.878 eV per cell. The volume comes out at 109.17 Å³/cell. The space-group type is F-43m (216).

Cell: 5.3646 5.3646 5.3646 Å, 60.00 60.00 60.00°
With the nearest neighbours (Å) after each atom.
Fractional coordinates of all 4 atoms:
La  0.5000  0.5000  0.5000  4 Tl 3.29, 4 In 3.29
Tl  0.2500  0.2500  0.2500  4 La 3.29, 4 Sc 3.29
Sc  0.0000  0.0000  0.0000  4 Tl 3.29, 4 In 3.29
In  0.7500  0.7500  0.7500  4 Sc 3.29, 4 La 3.29

## La2TmSc2In5 (PBE)

Data for a relaxed La2TmSc2In5 crystal.

Properties
The formation enthalpy at 0 K comes out at -0.391 eV per atom. The total energy comes out at -89.180 eV per cell. The volume comes out at 533.54 Å³/cell. The space-group type is P4/mbm (127).

Cell: 4.6410 10.7221 10.7221 Å, 90.00 90.00 90.00°
With the nearest neighbours (Å) after each atom.
Fractional coordinates of all 20 atoms:
In  0.5000  0.5000  0.0000  4 Sc 2.94, 4 In 3.27
In  0.5000  0.5603  0.7012  2 Sc 3.08, 3 In 3.19-3.27, 2 Tm 3.23
In  0.5000  0.2988  0.5603  2 Sc 3.08, 3 In 3.19-3.27, 2 Tm 3.23
In  0.5000  0.2012  0.0603  2 Sc 3.08, 3 In 3.19-3.27, 2 Tm 3.23
In  0.5000  0.9397  0.2012  2 Sc 3.08, 3 In 3.19-3.27, 2 Tm 3.23
In  0.5000  0.7988  0.9397  2 Sc 3.08, 3 In 3.19-3.27, 2 Tm 3.23
In  0.5000  0.4397  0.2988  2 Sc 3.08, 3 In 3.19-3.27, 2 Tm 3.23
In  0.5000  0.7012  0.4397  2 Sc 3.08, 3 In 3.19-3.27, 2 Tm 3.23
In  0.5000  0.0603  0.7988  2 Sc 3.08, 3 In 3.19-3.27, 2 Tm 3.23
In  0.5000  0.0000  0.5000  4 Sc 2.94, 4 In 3.27
Sc  0.0000  0.1191  0.6191  6 In 2.94-3.08, 3 La 3.05-3.27
Sc  0.0000  0.3809  0.1191  6 In 2.94-3.08, 3 La 3.05-3.27
Sc  0.0000  0.6191  0.8809  6 In 2.94-3.08, 3 La 3.05-3.27
Sc  0.0000  0.8809  0.3809  6 In 2.94-3.08, 3 La 3.05-3.27
Tm  0.0000  0.0000  0.0000  8 In 3.23
Tm  0.0000  0.5000  0.5000  8 In 3.23
La  0.0000  0.1799  0.3201  3 Sc 3.05-3.27
La  0.0000  0.8201  0.6799  3 Sc 3.05-3.27
La  0.0000  0.3201  0.8201  3 Sc 3.05-3.27
La  0.0000  0.6799  0.1799  3 Sc 3.05-3.27

Which of these has the highest volume?
La2SmSc2In5

Among the records above, which one has the highest formation enthalpy at 0 K?
LaSc3In